A plane-wave DFT calculation with PBE-GGA was carried out for Li2Ga3Hg2 after structural relaxation.

## Properties
theoretical density = 7.53 Mg/m³
total DFT energy (no corrections) = -2.11 eV/atom
formation energy from the elements = -0.18 eV per atom

Lattice parameters (Å, degrees): 5.351 5.348 7.107 81.81 113.67 131.31
Atoms (fractional coordinates):
Hg1 0.206 0.537 0.748
Hg2 0.794 0.463 0.252
Ga1 0.000 0.000 0.000
Ga2 0.167 0.226 0.394
Ga3 0.833 0.774 0.606
Li1 0.588 0.251 0.840
Li2 0.412 0.749 0.160